[1]
Fe3Br after structural relaxation. Source: the Open Quantum Materials Database, functional PBE-GGA.

Lattice parameters (Å, degrees): 3.8447 3.8447 3.8447 90.00 90.00 90.00
With the nearest neighbours (Å) after each atom.
Space group Pm-3m (No. 221)
Symmetry-distinct sites (fractional):
Fe1 0.0000 0.0000 0.5000 [3 per cell]  8 Fe 2.72, 4 Br 2.72
Br1 0.5000 0.5000 0.5000 [1 per cell]  12 Fe 2.72

Summary:
Offset from the most stable computed form ... 152.3 meV per atom
Magnetization ... 8.7 μB/f.u.

[2]
PrDyAl after structural relaxation. Source: the Open Quantum Materials Database, functional PBE-GGA.

Lattice parameters (Å, degrees): 7.1961 7.1961 7.1961 90.00 90.00 90.00
With the nearest neighbours (Å) after each atom.
Space group F-43m (No. 216)
Symmetry-distinct sites (fractional):
Pr1 0.0000 0.0000 0.0000 [4 per cell]  4 Dy 3.12
Dy1 0.2500 0.2500 0.7500 [4 per cell]  4 Pr 3.12, 4 Al 3.12
Al1 0.0000 0.0000 0.5000 [4 per cell]  4 Dy 3.12

Summary:
Offset from the most stable computed form ... 0.0 meV per atom
Magnetization ... 0.8 μB/f.u.

[3]
Tb2Ni after structural relaxation. Source: the Open Quantum Materials Database, functional PBE-GGA.

Lattice parameters (Å, degrees): 8.4566 8.4566 8.4566 90.00 90.00 90.00
With the nearest neighbours (Å) after each atom.
Space group Fd-3m (No. 227, origin choice 2)
Symmetry-distinct sites (fractional):
Tb1 0.0000 0.0000 0.0000 [16 per cell]  6 Tb 2.99
Ni1 0.1250 0.1250 0.6250 [8 per cell]  12 Tb 3.51, 4 Ni 3.66

Summary:
Magnetization ... 0.0 μB/f.u.
DFT formation energy ... 883 meV per atom

[4]
RbCu2 after structural relaxation. Source: the Open Quantum Materials Database, functional PBE-GGA.

Lattice parameters (Å, degrees): 7.3253 7.3253 7.3253 90.00 90.00 90.00
With the nearest neighbours (Å) after each atom.
Space group Fm-3m (No. 225)
Symmetry-distinct sites (fractional):
Rb1 0.0000 0.0000 0.0000 [4 per cell]  8 Cu 3.17
Cu1 0.2500 0.2500 0.2500 [8 per cell]  4 Rb 3.17

Summary:
Offset from the most stable computed form ... 722.1 meV per atom

[5]
Na2Re3S6 after structural relaxation. Source: the Open Quantum Materials Database, functional PBE-GGA.

Lattice parameters (Å, degrees): 15.9204 9.6655 11.5695 90.00 92.73 90.00
With the nearest neighbours (Å) after each atom.
Space group C2/c (No. 15)
Symmetry-distinct sites (fractional):
Na1 0.0000 0.0749 0.2500 [4 per cell]  2 S 2.79
Na2 0.0000 0.2880 0.7500 [4 per cell]  6 S 2.90-3.07
Na3 0.1247 0.2715 0.0094 [8 per cell]  5 S 2.88-3.04
Re1 0.1555 0.3549 0.4674 [8 per cell]  5 S 2.40-2.44, 4 Re 2.61-2.62
Re2 0.2023 0.1035 0.4149 [8 per cell]  5 S 2.40-2.50, 4 Re 2.62-2.64
Re3 0.2026 0.1826 0.6330 [8 per cell]  5 S 2.41-2.48, 4 Re 2.61-2.64
S1 0.0307 0.4923 0.4214 [8 per cell]  1 S 2.11
S2 0.0731 0.1529 0.5137 [8 per cell]  3 Re 2.43-2.45
S3 0.1359 0.0970 0.8088 [8 per cell]  2 Re 2.48-2.50
S4 0.1612 0.2734 0.2696 [8 per cell]  3 Re 2.42-2.43
S5 0.1629 0.4184 0.6684 [8 per cell]  3 Re 2.40-2.41
S6 0.2488 0.0437 0.0742 [8 per cell]  3 Re 2.42-2.44

Summary:
Magnetization ... 0.0 μB/f.u.

[6]
KBiPd after structural relaxation. Source: the Open Quantum Materials Database, functional PBE-GGA.

Lattice parameters (Å, degrees): 7.2887 7.2887 7.2887 90.00 90.00 90.00
With the nearest neighbours (Å) after each atom.
Space group F-43m (No. 216)
Symmetry-distinct sites (fractional):
K1 0.0000 0.0000 0.0000 [4 per cell]  4 Bi 3.16, 4 Pd 3.16
Bi1 0.2500 0.2500 0.7500 [4 per cell]  4 K 3.16
Pd1 0.2500 0.2500 0.2500 [4 per cell]  4 K 3.16

Summary:
Offset from the most stable computed form ... 1025.5 meV per atom

[7]
Mo3AuSe5 after structural relaxation. Source: the Open Quantum Materials Database, functional PBE-GGA.

Lattice parameters (Å, degrees): 5.5605 5.5605 7.3884 90.00 90.00 120.00
With the nearest neighbours (Å) after each atom.
Space group P6/mmm (No. 191)
Symmetry-distinct sites (fractional):
Mo1 0.0000 0.5000 0.0000 [3 per cell]  6 Se 2.58-2.78, 4 Mo 2.78
Au1 0.0000 0.0000 0.5000 [1 per cell]  14 Se 3.62-3.69
Se1 0.0000 0.0000 0.0000 [1 per cell]  6 Mo 2.78
Se2 0.3333 0.6667 0.2737 [4 per cell]  3 Mo 2.58

Summary:
Magnetization ... 1.3 μB/f.u.

[8]
NbFeMoAs after structural relaxation. Source: the Open Quantum Materials Database, functional PBE-GGA.

Lattice parameters (Å, degrees): 6.1541 6.1541 6.1541 90.00 90.00 90.00
With the nearest neighbours (Å) after each atom.
Space group F-43m (No. 216)
Symmetry-distinct sites (fractional):
Nb1 0.0000 0.0000 0.0000 [4 per cell]  4 Mo 2.66, 4 Fe 2.66
Fe1 0.2500 0.2500 0.7500 [4 per cell]  4 As 2.66, 4 Nb 2.66
Mo1 0.2500 0.2500 0.2500 [4 per cell]  4 As 2.66, 4 Nb 2.66
As1 0.0000 0.0000 0.5000 [4 per cell]  4 Mo 2.66, 4 Fe 2.66

Summary:
Offset from the most stable computed form ... 0.0 meV per atom
Magnetization ... 0.0 μB/f.u.

[9]
NdZr2 after structural relaxation. Source: the Open Quantum Materials Database, functional PBE-GGA.

Lattice parameters (Å, degrees): 3.2989 17.5251 5.4360 90.00 90.00 90.00
With the nearest neighbours (Å) after each atom.
Space group Cmcm (No. 63)
Symmetry-distinct sites (fractional):
Nd1 0.0000 0.1149 0.2500 [4 per cell]  10 Zr 3.24-3.40, 2 Nd 3.30
Zr1 0.0000 0.2155 0.7500 [4 per cell]  4 Nd 3.24-3.40, 8 Zr 3.30-3.40
Zr2 0.0000 0.4479 0.2500 [4 per cell]  6 Zr 3.27-3.30, 6 Nd 3.36

Summary:
Offset from the most stable computed form ... 80.0 meV per atom
Magnetization ... 0.0 μB/f.u.
DFT formation energy ... 171 meV per atom

[10]
CsScOs after structural relaxation. Source: the Open Quantum Materials Database, functional PBE-GGA.

Lattice parameters (Å, degrees): 6.8311 6.8311 6.8311 90.00 90.00 90.00
With the nearest neighbours (Å) after each atom.
Space group F-43m (No. 216)
Symmetry-distinct sites (fractional):
Cs1 0.0000 0.0000 0.0000 [4 per cell]  4 Os 2.96
Sc1 0.0000 0.0000 0.5000 [4 per cell]  4 Os 2.96
Os1 0.2500 0.2500 0.2500 [4 per cell]  4 Sc 2.96, 4 Cs 2.96

Summary:
Offset from the most stable computed form ... 0.0 meV per atom
Magnetization ... 0.0 μB/f.u.

[11]
La2NdSmSe3O4 after structural relaxation. Source: the Open Quantum Materials Database, functional PBE-GGA.

Lattice parameters (Å, degrees): 8.4772 4.0312 12.9300 90.00 90.00 90.00
With the nearest neighbours (Å) after each atom.
Space group Amm2 (No. 38)
Symmetry-distinct sites (fractional):
La1 0.2373 0.0000 0.0000 [4 per cell]  4 O 2.38-2.40
Nd1 0.5000 0.0000 0.3309 [2 per cell]  4 O 2.37-2.39
Sm1 0.0000 0.0000 0.3174 [2 per cell]  4 O 2.29-2.32
Se1 0.0000 0.0000 0.6337 [2 per cell]  2 Se 3.03, 2 Sm 3.12, 4 La 3.33
Se2 0.3514 0.0000 0.6750 [4 per cell]  1 Se 2.52
O1 0.0000 0.0000 0.9018 [2 per cell]  2 Sm 2.29, 2 La 2.38
O2 0.2420 0.0000 0.4018 [4 per cell]  1 Sm 2.32, 1 Nd 2.37, 2 La 2.38
O3 0.5000 0.0000 0.9299 [2 per cell]  2 Nd 2.39, 2 La 2.40

Summary:
Magnetization ... 0.0 μB/f.u.

[12]
HoGeH2O4 after structural relaxation. Source: the Open Quantum Materials Database, functional PBE-GGA.

Lattice parameters (Å, degrees): 9.9923 10.0787 6.8478 90.00 90.00 90.00
With the nearest neighbours (Å) after each atom.
Space group Fdd2 (No. 43)
Symmetry-distinct sites (fractional):
Ho1 0.0000 0.0000 0.0000 [8 per cell]  6 O 2.29-2.37
Ge1 0.0000 0.0000 0.5366 [8 per cell]  4 O 1.86-2.04
H1 0.0426 0.2422 0.6161 [16 per cell]  1 O 1.01
O1 0.0614 0.3773 0.2178 [16 per cell]  1 H 1.74, 1 Ge 1.86
O2 0.1154 0.3070 0.5785 [16 per cell]  1 H 1.01

Summary:
Offset from the most stable computed form ... 0.0 meV per atom
Magnetization ... 0.0 μB/f.u.

Number 1: theoretical density 7.23 g cm⁻³, E -23.79 eV per formula unit. Number 2: theoretical density 5.89 g cm⁻³, E -11.71 eV per formula unit. Number 3: theoretical density 8.27 g cm⁻³, E -12.18 eV per formula unit. Number 4: theoretical density 3.59 g cm⁻³, E -4.69 eV per formula unit. Number 5: theoretical density 5.95 g cm⁻³, E -72.63 eV per formula unit. Number 6: theoretical density 6.08 g cm⁻³, E -8.32 eV per formula unit. Number 7: theoretical density 7.38 g cm⁻³, E -52.54 eV per formula unit. Number 8: theoretical density 9.11 g cm⁻³, E -33.59 eV per formula unit. Number 9: theoretical density 6.90 g cm⁻³, E -21.34 eV per formula unit. Number 10: theoretical density 7.67 g cm⁻³, E -14.86 eV per formula unit. Number 11: theoretical density 6.56 g cm⁻³, E -80.63 eV per formula unit. Number 12: theoretical density 5.85 g cm⁻³, E -50.02 eV per formula unit.